No. 1
# La2ZnSnRh

La2ZnSnRh after structural relaxation (PBE, Alexandria via LeMat-Bulk).

Cell and atoms, written as POSCAR:
```
La2ZnSnRh
1.0
5.458 0.000 0.000
0.000 5.458 0.000
0.000 0.000 4.852
Zn Rh Sn La
1 1 1 2
Direct
0.000 0.000 0.500
0.000 0.000 0.000
0.500 0.500 0.500
0.000 0.500 0.000
0.500 0.000 0.000
```

Values from the calculation:
ΔE_f	-0.547	eV/atom
magnetization	0.0	μB/f.u.
E	-5.04	eV per atom

***

No. 2
# FeSi5

FeSi5 after structural relaxation (PBE, Alexandria via LeMat-Bulk).

Cell and atoms, written as POSCAR:
```
FeSi5
1.0
-4.118 -1.121 1.520
2.536 -3.077 -2.150
1.774 -1.251 3.884
Fe Si
1 5
Direct
0.000 0.000 0.500
0.678 0.000 0.000
0.322 0.322 0.000
0.000 0.678 0.000
0.667 0.333 0.500
0.333 0.667 0.500
```

Values from the calculation:
magnetization	1.9	μB/f.u.
E_form (uncorrected)	303	meV per atom
ΔE to the lowest computed polymorph	105	meV per atom
E	-5.63	eV per atom

***

No. 3
# Y3Ni

Y3Ni after structural relaxation (PBE, Alexandria via LeMat-Bulk).

Cell and atoms, written as POSCAR:
```
Y3Ni
1.0
3.701 0.000 0.000
-1.850 3.205 0.000
0.000 0.000 9.403
Ni Y
1 3
Direct
0.000 0.000 0.000
0.000 0.000 0.500
0.333 0.667 0.188
0.333 0.667 0.812
```

Values from the calculation:
ΔE_f	-0.093	eV/atom
magnetization	0.9	μB/f.u.
E	-6.39	eV per atom

***

No. 4
# Er8Tc2Sn

Er8Tc2Sn after structural relaxation (PBE, Alexandria via LeMat-Bulk).

Cell and atoms, written as POSCAR:
```
Er8Tc2Sn
1.0
-2.510 -2.050 3.468
0.187 -6.337 -3.608
8.255 2.695 4.316
Er Tc Sn
8 2 1
Direct
0.627 0.223 0.890
0.990 0.181 0.617
0.268 0.312 0.172
0.791 0.998 0.219
0.391 0.820 0.418
0.914 0.506 0.464
0.192 0.638 0.020
0.555 0.595 0.746
0.778 0.589 0.193
0.404 0.229 0.443
0.091 0.909 0.818
```

Values from the calculation:
ΔE_f	-0.219	eV/atom
magnetization	0.0	μB/f.u.
E	-5.79	eV per atom

***

No. 5
# TaHg2Te

TaHg2Te after structural relaxation (PBE, Alexandria via LeMat-Bulk).

Cell and atoms, written as POSCAR:
```
TaHg2Te
1.0
-4.609 0.793 -2.067
-1.760 -2.249 3.063
-0.434 3.472 2.300
Hg Ta Te
2 1 1
Direct
0.000 0.000 0.000
0.000 0.500 0.500
0.500 0.500 0.000
0.500 0.000 0.500
```

Values from the calculation:
magnetization	0.3	μB/f.u.
E_form (uncorrected)	622	meV per atom
E	-3.28	eV per atom

***

No. 6
# TmAlCd2

TmAlCd2 after structural relaxation (PBE, Alexandria via LeMat-Bulk).

Cell and atoms, written as POSCAR:
```
TmAlCd2
1.0
-4.233 -1.518 -1.131
1.105 0.062 -4.217
1.396 -4.119 0.305
Tm Al Cd
1 1 2
Direct
0.500 0.000 0.000
0.500 0.500 0.500
0.000 0.000 0.500
0.000 0.500 0.000
```

Values from the calculation:
ΔE_f	-0.239	eV/atom
magnetization	0.0	μB/f.u.
ΔE to the lowest computed polymorph	0	meV per atom
E	-2.75	eV per atom

***

No. 7
# CaTh2Zn4

CaTh2Zn4 after structural relaxation (PBE, Alexandria via LeMat-Bulk).

Cell and atoms, written as POSCAR:
```
CaTh2Zn4
1.0
4.855 0.000 -1.548
-0.493 4.830 -1.548
-0.190 -0.210 7.794
Ca Zn Th
1 4 2
Direct
0.000 0.000 0.000
0.389 0.889 0.778
0.889 0.389 0.778
0.611 0.111 0.222
0.111 0.611 0.222
0.738 0.738 0.476
0.262 0.262 0.524
```

Values from the calculation:
ΔE_f	0.023	eV/atom
magnetization	0.0	μB/f.u.
E	-3.11	eV per atom

***

No. 8
# MgTePd

MgTePd after structural relaxation (PBE, Alexandria via LeMat-Bulk).

Cell and atoms, written as POSCAR:
```
MgTePd
1.0
-2.716 -3.307 -8.099
0.963 -4.122 1.360
-5.974 -0.647 2.268
Mg Te Pd
4 4 4
Direct
0.863 0.250 0.252
0.637 0.750 0.752
0.137 0.750 0.748
0.363 0.250 0.248
0.872 0.250 0.788
0.628 0.750 0.288
0.128 0.750 0.212
0.372 0.250 0.712
0.111 0.250 0.476
0.389 0.750 0.976
0.889 0.750 0.524
0.611 0.250 0.024
```

Values from the calculation:
magnetization	0.0	μB/f.u.
E_form (uncorrected)	-628	meV per atom
E	-3.94	eV per atom

***

No. 9
# HfAgTe2I

HfAgTe2I after structural relaxation (PBE, Alexandria via LeMat-Bulk).

Cell and atoms, written as POSCAR:
```
HfAgTe2I
1.0
5.572 0.000 0.000
0.000 5.572 0.000
0.000 0.000 5.730
I Te Hf Ag
1 2 1 1
Direct
0.000 0.000 0.500
0.000 0.500 0.000
0.500 0.000 0.000
0.000 0.000 0.000
0.500 0.500 0.500
```

Values from the calculation:
magnetization	0.0	μB/f.u.
E_form (uncorrected)	-23	meV per atom
ΔE to the lowest computed polymorph	0	meV per atom
E	-4.15	eV per atom

***

No. 10
# Er5Se4S

Er5Se4S after structural relaxation (PBE, Alexandria via LeMat-Bulk).

Cell and atoms, written as POSCAR:
```
Er5Se4S
1.0
3.997 0.000 0.000
1.998 3.461 0.000
1.998 1.154 16.391
Er Se S
5 4 1
Direct
0.401 0.401 0.798
0.000 0.000 0.000
0.599 0.599 0.202
0.804 0.804 0.588
0.196 0.196 0.412
0.898 0.898 0.306
0.299 0.299 0.102
0.701 0.701 0.898
0.102 0.102 0.694
0.500 0.500 0.500
```

Values from the calculation:
magnetization	0.0	μB/f.u.
E_form (uncorrected)	-1743	meV per atom
ΔE to the lowest computed polymorph	0	meV per atom
E	-5.83	eV per atom

***

No. 11
# NaBi4Pd6

NaBi4Pd6 after structural relaxation (PBE, Alexandria via LeMat-Bulk).

Cell and atoms, written as POSCAR:
```
NaBi4Pd6
1.0
7.130 -0.269 -0.395
-3.535 6.198 0.395
-3.535 -1.912 5.909
Na Bi Pd
1 4 6
Direct
0.000 0.000 0.000
0.000 0.115 0.561
0.554 0.439 0.439
0.000 0.561 0.115
0.446 0.885 0.885
0.000 0.762 0.441
0.000 0.441 0.762
0.679 0.238 0.238
0.500 0.000 0.500
0.321 0.559 0.559
0.500 0.500 0.000
```

Values from the calculation:
ΔE_f	-0.224	eV/atom
magnetization	0.0	μB/f.u.
ΔE to the lowest computed polymorph	30	meV per atom
E	-4.59	eV per atom

***

No. 12
# UMn2Ge2

UMn2Ge2 after structural relaxation (PBE, Alexandria via LeMat-Bulk).

Cell and atoms, written as POSCAR:
```
UMn2Ge2
1.0
6.087 0.142 0.000
3.467 5.004 0.000
-4.777 -2.573 2.761
U Mn Ge
1 2 2
Direct
0.000 0.000 0.000
0.750 0.250 0.500
0.250 0.750 0.500
0.617 0.617 0.000
0.383 0.383 0.000
```

Values from the calculation:
ΔE_f	-0.173	eV/atom
magnetization	6.1	μB/f.u.
E	-7.95	eV per atom

***

No. 13
# HoTm4Bi2

HoTm4Bi2 after structural relaxation (PBE, Alexandria via LeMat-Bulk).

Cell and atoms, written as POSCAR:
```
HoTm4Bi2
1.0
-2.986 2.898 3.265
-0.944 -4.290 2.945
8.618 2.381 1.484
Ho Tm Bi
1 4 2
Direct
0.000 0.000 0.000
0.819 0.819 0.639
0.181 0.181 0.361
0.000 0.500 0.000
0.500 0.000 0.000
0.635 0.635 0.269
0.365 0.365 0.731
```

Values from the calculation:
ΔE_f	0.388	eV/atom
magnetization	0.0	μB/f.u.
E	-3.93	eV per atom

***

No. 14
# TaRuCl3

TaRuCl3 after structural relaxation (PBE, Alexandria via LeMat-Bulk).

Cell and atoms, written as POSCAR:
```
TaRuCl3
1.0
-4.755 -0.715 0.062
0.697 -4.493 1.567
-0.175 1.558 4.546
Ru Cl Ta
1 3 1
Direct
0.500 0.500 0.500
0.000 0.500 0.000
0.000 0.000 0.500
0.500 0.000 0.000
0.000 0.000 0.000
```

Values from the calculation:
magnetization	0.0	μB/f.u.
E_form (uncorrected)	765	meV per atom
ΔE to the lowest computed polymorph	0	meV per atom
E	-4.57	eV per atom

***

No. 15
# Ce2InAu3

Ce2InAu3 after structural relaxation (PBE, Alexandria via LeMat-Bulk).

Cell and atoms, written as POSCAR:
```
Ce2InAu3
1.0
-2.087 2.044 9.117
2.087 -2.044 9.117
2.087 2.044 -9.117
Ce In Au
2 1 3
Direct
0.132 0.132 0.000
0.355 0.855 0.500
0.956 0.456 0.500
0.703 0.703 0.000
0.553 0.553 0.000
0.801 0.301 0.500
```

Values from the calculation:
ΔE_f	-0.527	eV/atom
magnetization	2.2	μB/f.u.
ΔE to the lowest computed polymorph	114	meV per atom
E	-4.60	eV per atom

***

No. 16
# CdFeNi

CdFeNi after structural relaxation (PBE, Alexandria via LeMat-Bulk).

Cell and atoms, written as POSCAR:
```
CdFeNi
1.0
-1.814 -0.285 1.968
3.198 -7.376 0.037
3.401 -0.497 3.063
Ni Cd Fe
2 2 2
Direct
0.817 0.635 0.997
0.183 0.365 0.003
0.348 0.696 0.456
0.652 0.304 0.544
0.461 0.923 0.805
0.539 0.077 0.195
```

Values from the calculation:
ΔE_f	0.302	eV/atom
magnetization	3.1	μB/f.u.
ΔE to the lowest computed polymorph	139	meV per atom
E	-4.75	eV per atom

***

No. 17
# Sc2MnAu

Sc2MnAu after structural relaxation (PBE, Alexandria via LeMat-Bulk).

Cell and atoms, written as POSCAR:
```
Sc2MnAu
1.0
8.449 0.011 0.006
7.834 3.166 0.006
7.834 1.528 2.773
Au Mn Sc
1 1 2
Direct
0.250 0.250 0.250
0.750 0.750 0.750
0.009 0.009 0.009
0.491 0.491 0.491
```

Values from the calculation:
ΔE_f	-0.034	eV/atom
magnetization	0.0	μB/f.u.
E	-6.31	eV per atom

***

No. 18
# HfNbRu3

HfNbRu3 after structural relaxation (PBE, Alexandria via LeMat-Bulk).

Cell and atoms, written as POSCAR:
```
HfNbRu3
1.0
4.647 0.000 0.000
0.000 4.647 0.000
0.000 0.000 4.647
Ru Nb Hf
3 1 1
Direct
0.000 0.500 0.000
0.000 0.000 0.500
0.500 0.000 0.000
0.000 0.000 0.000
0.500 0.500 0.500
```

Values from the calculation:
ΔE_f	0.973	eV/atom
magnetization	0.0	μB/f.u.
E	-8.60	eV per atom

***

No. 19
# Mn2B2Rh

Mn2B2Rh after structural relaxation (PBE, Alexandria via LeMat-Bulk).

Cell and atoms, written as POSCAR:
```
Mn2B2Rh
1.0
5.417 0.000 0.000
0.000 5.417 0.000
0.000 0.000 3.212
B Mn Rh
4 4 2
Direct
0.385 0.885 0.000
0.885 0.615 0.000
0.615 0.115 0.000
0.115 0.385 0.000
0.163 0.663 0.500
0.663 0.837 0.500
0.837 0.337 0.500
0.337 0.163 0.500
0.000 0.000 0.000
0.500 0.500 0.000
```

Values from the calculation:
ΔE_f	-0.206	eV/atom
magnetization	0.0	μB/f.u.
E	-8.02	eV per atom

***

No. 20
# HfMn4Os

HfMn4Os after structural relaxation (PBE, Alexandria via LeMat-Bulk).

Cell and atoms, written as POSCAR:
```
HfMn4Os
1.0
4.778 0.000 0.000
2.389 4.138 0.000
2.389 1.379 3.901
Hf Mn Os
1 4 1
Direct
0.250 0.250 0.250
0.622 0.622 0.133
0.622 0.133 0.622
0.622 0.622 0.622
0.133 0.622 0.622
0.000 0.000 0.000
```

Values from the calculation:
ΔE_f	-0.109	eV/atom
magnetization	0.0	μB/f.u.
E	-9.75	eV per atom

***

No. 21
# Cs3Te22

Cs3Te22 after structural relaxation (PBE, Alexandria via LeMat-Bulk).

Cell and atoms, written as POSCAR:
```
Cs3Te22
1.0
-1.486 -9.104 -3.617
6.631 1.642 -7.088
4.995 0.024 11.572
Cs Te
3 22
Direct
0.186 0.178 0.357
0.829 0.822 0.643
0.501 0.495 0.000
0.861 0.849 0.000
0.096 0.504 0.774
0.262 0.091 0.762
0.019 0.191 0.617
0.322 0.729 0.226
0.974 0.819 0.374
0.677 0.269 0.764
0.501 0.329 0.239
0.852 0.129 0.000
0.497 0.684 0.777
0.720 0.908 0.224
0.913 0.505 0.236
0.436 0.022 0.621
0.563 0.977 0.378
0.185 0.599 0.622
0.186 0.872 0.000
0.600 0.445 0.626
0.023 0.460 0.000
0.816 0.401 0.379
0.134 0.184 0.000
0.452 0.982 0.000
0.402 0.573 0.383
```

Values from the calculation:
magnetization	0.0	μB/f.u.
E_form (uncorrected)	-219	meV per atom
E	-3.09	eV per atom

***

No. 22
# Fe3Pt

Fe3Pt after structural relaxation (PBE, Alexandria via LeMat-Bulk).

Cell and atoms, written as POSCAR:
```
Fe3Pt
1.0
4.401 0.000 0.000
0.000 4.563 0.000
0.000 0.000 5.231
Fe Pt
6 2
Direct
0.500 0.660 0.000
0.000 0.849 0.256
0.500 0.151 0.244
0.000 0.340 0.500
0.000 0.849 0.744
0.500 0.151 0.756
0.000 0.345 0.000
0.500 0.655 0.500
```

Values from the calculation:
ΔE_f	-0.037	eV/atom
magnetization	8.6	μB/f.u.
E	-7.89	eV per atom

***

No. 23
# Cr2FeCu

Cr2FeCu after structural relaxation (PBE, Alexandria via LeMat-Bulk).

Cell and atoms, written as POSCAR:
```
Cr2FeCu
1.0
-1.471 -1.432 3.837
0.319 -2.916 3.214
2.956 2.500 2.542
Cr Cu Fe
2 1 1
Direct
0.997 0.997 0.001
0.755 0.755 0.747
0.502 0.502 0.497
0.247 0.247 0.255
```

Values from the calculation:
ΔE_f	0.258	eV/atom
magnetization	1.9	μB/f.u.
ΔE to the lowest computed polymorph	120	meV per atom
E	-7.69	eV per atom

***

No. 24
# PrRhCl

PrRhCl after structural relaxation (PBE, Alexandria via LeMat-Bulk).

Cell and atoms, written as POSCAR:
```
PrRhCl
1.0
3.940 0.000 0.000
0.000 7.997 0.015
-1.970 -0.850 10.631
Cl Rh Pr
4 4 4
Direct
0.091 0.337 0.183
0.437 0.160 0.875
0.563 0.840 0.125
0.909 0.663 0.817
0.242 0.620 0.484
0.748 0.872 0.496
0.758 0.380 0.516
0.252 0.128 0.504
0.352 0.405 0.703
0.656 0.111 0.312
0.648 0.595 0.297
0.344 0.889 0.688
```

Values from the calculation:
magnetization	0.0	μB/f.u.
E_form (uncorrected)	-1133	meV per atom
ΔE to the lowest computed polymorph	217	meV per atom
E	-5.79	eV per atom